## CsKTiTe3 (PBE)

Data for a relaxed CsKTiTe3 crystal.

Output
E_tot	-3.98	eV per atom

POSCAR file:
```
CsKTiTe3
1.0
-4.510 1.992 -5.990
-0.122 -5.959 -4.966
-8.308 -4.396 1.475
Cs K Ti Te
2 2 2 6
Direct
0.664 0.664 0.807 Cs
0.336 0.336 0.193 Cs
0.247 0.753 0.500 K
0.753 0.247 0.500 K
0.091 0.091 0.875 Ti
0.909 0.909 0.125 Ti
0.254 0.254 0.616 Te
0.106 0.724 0.889 Te
0.724 0.106 0.889 Te
0.276 0.894 0.111 Te
0.894 0.276 0.111 Te
0.746 0.746 0.384 Te
```